No. 1
# NbTcHRuI

An optimized crystal structure of NbTcHRuI (GGA-PBE, the Alexandria database).

Unit cell a=3.9769 b=3.3536 c=7.0715 alpha=90.00 beta=106.15 gamma=90.00
With the nearest neighbours (Å) after each atom.
Space group Pm (No. 6)
One atom of each set of equivalent atoms:
Nb: 0.0000 0.0000 0.0000 [1 per cell]  1 H 2.38, 2 Ru 2.61
Tc: 0.9060 0.5000 0.6627 [1 per cell]  2 H 1.79
H: 0.7444 0.0000 0.6525 [1 per cell]  2 Tc 1.79
Ru: 0.4822 0.5000 0.8769 [1 per cell]  2 Tc 2.37-2.56, 2 Nb 2.61
I: 0.2094 0.5000 0.3486 [1 per cell]  2 Tc 2.81-3.03, 2 Nb 2.91, 2 H 3.07

Properties
**E_tot**: -6.53 eV per atom
**N(E_F)**: 4.5 states/eV/f.u.
**Energy above the most stable polymorph in this dataset**: 177.7 meV per atom

---

No. 2
# NbTcHRuI

An optimized crystal structure of NbTcHRuI (GGA-PBE, the Alexandria database).

Unit cell a=3.3668 b=4.8139 c=6.2689 alpha=106.33 beta=92.71 gamma=109.85
With the nearest neighbours (Å) after each atom.
Space group P1 (No. 1)
One atom of each set of equivalent atoms:
Nb: 0.0000 0.0000 0.0000 [1 per cell]  2 Ru 2.45-2.63, 1 Tc 2.57
Tc: 0.7897 0.4747 0.1552 [1 per cell]  1 H 1.73
H: 0.0645 0.6624 0.4273 [1 per cell]  1 Tc 1.73
Ru: 0.4646 0.9553 0.2922 [1 per cell]  1 H 2.00
I: 0.4298 0.3617 0.7054 [1 per cell]  1 Ru 2.81, 1 Tc 2.84, 2 Nb 2.98-3.00, 3 H 3.01-3.09

Properties
**E_tot**: -6.47 eV per atom
**N(E_F)**: 2.6 states/eV/f.u.
**Energy above the most stable polymorph in this dataset**: 238.5 meV per atom

---

- Number 2 is which compound?
  NbTcHRuI

---

- Which value of E_tot does entry 1 give?
  -6.53 eV per atom

---

- What is the energy above the most stable polymorph in this dataset in the first record?
  177.7 meV per atom

---

- What is the formula in the second record?
  NbTcHRuI